# PrInP

PrInP after structural relaxation (PBE-GGA, Alexandria via LeMat-Bulk).

Output
E_form   -778 meV/atom
DOS(E_F)   0.37 states/eV/f.u.
Total energy   -30.5 eV per cell
Mass density   5.46 g/cm³

Lattice parameters (Å, degrees): 4.9634 4.9634 8.6604 73.35 73.35 60.00
Closest atoms and distances in Å follow each position.
Atoms (fractional coordinates):
P 0.7171 0.7171 0.8486  1 In 2.64, 4 Pr 2.83-2.89
Pr 0.3983 0.3983 0.8050  4 P 2.83-2.89
P 0.2829 0.2829 0.1514  1 In 2.64, 4 Pr 2.83-2.89
In 0.1751 0.1751 0.4746  1 P 2.64, 3 In 2.90
In 0.8249 0.8249 0.5254  1 P 2.64, 3 In 2.90
Pr 0.6017 0.6017 0.1950  4 P 2.83-2.89



# Pr4In2P

Pr4In2P after structural relaxation (PBE-GGA, Alexandria via LeMat-Bulk).

Output
E_form   -533 meV/atom
DOS(E_F)   4.65 states/eV/f.u.
Total energy   -33.7 eV per cell
Mass density   5.71 g/cm³

Lattice parameters (Å, degrees): 5.5228 5.5228 8.7745 108.34 108.34 90.00
Closest atoms and distances in Å follow each position.
Atoms (fractional coordinates):
In 0.6191 0.6191 0.2382  5 Pr 3.18-3.34
P 0.0000 0.0000 0.0000  6 Pr 2.76-2.80
Pr 0.8216 0.8216 0.6432  1 P 2.80
Pr 0.5000 0.0000 0.0000  2 P 2.76
Pr 0.1784 0.1784 0.3568  1 P 2.80
In 0.3809 0.3809 0.7618  5 Pr 3.18-3.34
Pr 0.0000 0.5000 0.0000  2 P 2.76



# Pr2InP

Pr2InP after structural relaxation (PBE-GGA, Alexandria via LeMat-Bulk).

Output
E_form   -938 meV/atom
DOS(E_F)   2.20 states/eV/f.u.
Total energy   -21.5 eV per cell
Mass density   5.97 g/cm³

Lattice parameters (Å, degrees): 4.1183 4.1183 8.4392 75.88 75.88 60.00
Closest atoms and distances in Å follow each position.
Atoms (fractional coordinates):
Pr 0.2646 0.2646 0.2063  3 P 2.91
In 0.5000 0.5000 0.5000  6 Pr 3.36
Pr 0.7354 0.7354 0.7937  3 P 2.91
P 0.0000 0.0000 0.0000  6 Pr 2.91



# Pr4In2P

Pr4In2P after structural relaxation (PBE-GGA, Alexandria via LeMat-Bulk).

Output
E_form   -682 meV/atom
DOS(E_F)   8.31 states/eV/f.u.
Total energy   -34.8 eV per cell
Mass density   6.29 g/cm³

Lattice parameters (Å, degrees): 4.2546 6.8074 8.3201 75.67 75.19 71.79
Closest atoms and distances in Å follow each position.
Atoms (fractional coordinates):
Pr 0.0896 0.1737 0.6471  1 P 2.86
Pr 0.3336 0.2660 0.0668  2 P 2.85
In 0.6264 0.4073 0.3398  1 In 3.03, 2 Pr 3.30
Pr 0.9104 0.8263 0.3529  1 P 2.86
Pr 0.6664 0.7340 0.9332  2 P 2.85
In 0.3736 0.5927 0.6602  1 In 3.03, 2 Pr 3.30
P 0.0000 0.0000 0.0000  6 Pr 2.85-2.86



# Pr2InP

Pr2InP after structural relaxation (PBE-GGA, Alexandria via LeMat-Bulk).

Output
E_form   -888 meV/atom
DOS(E_F)   3.26 states/eV/f.u.
Total energy   -21.3 eV per cell
Mass density   5.90 g/cm³

Lattice parameters (Å, degrees): 4.0642 4.0642 8.7370 76.56 76.56 60.00
Closest atoms and distances in Å follow each position.
Atoms (fractional coordinates):
Pr 0.0663 0.0663 0.8012  3 P 2.87
P 0.6673 0.6673 0.9981  6 Pr 2.87-2.90
Pr 0.2665 0.2665 0.2006  3 P 2.90
In 0.5000 0.5000 0.5000  6 Pr 3.44-3.45



# PrInP2

PrInP2 after structural relaxation (PBE-GGA, Alexandria via LeMat-Bulk).

Output
E_form   -383 meV/atom
Total energy   -19.9 eV per cell
Mass density   3.92 g/cm³

Lattice parameters (Å, degrees): 4.5656 4.5656 7.9144 73.24 73.24 60.00
Closest atoms and distances in Å follow each position.
Atoms (fractional coordinates):
In 0.0000 0.0000 0.0000  2 P 2.36
Pr 0.5000 0.5000 0.5000  6 P 2.97
P 0.8946 0.8946 0.3163  1 In 2.36
P 0.1054 0.1054 0.6837  1 In 2.36



Look up the mass density of the fourth one. 6.29 g/cm³



Which formula does entry 5 have? Pr2InP